[1]
Below is crystalline Pm4In2Fe at its relaxed geometry, with properties calculated at the GGA-PBE level.

Calculated values
symmetry = I4/mmm, No. 139
E_form = -0.09 eV per atom
D(E_F) = 15.06 states/eV/cell
total moment = 0.05 μB per atom

Unit cell a=5.0665 b=5.0665 c=16.4496 alpha=90.00 beta=90.00 gamma=90.00
Closest atoms and distances in Å follow each position.
Element x y z (fractional)
Pm 0.0000 0.0000 0.1728  1 Fe 2.84, 1 In 3.15
Pm 0.0000 0.0000 0.8272  1 Fe 2.84, 1 In 3.15
Pm 0.0000 0.5000 0.0000  2 Fe 2.53
Pm 0.0000 0.5000 0.5000  2 Fe 2.53
Pm 0.5000 0.0000 0.0000  2 Fe 2.53
Pm 0.5000 0.0000 0.5000  2 Fe 2.53
Pm 0.5000 0.5000 0.3272  1 Fe 2.84, 1 In 3.15
Pm 0.5000 0.5000 0.6728  1 Fe 2.84, 1 In 3.15
In 0.0000 0.0000 0.3642  5 Pm 3.15-3.38
In 0.0000 0.0000 0.6358  5 Pm 3.15-3.38
In 0.5000 0.5000 0.1358  5 Pm 3.15-3.38
In 0.5000 0.5000 0.8642  5 Pm 3.15-3.38
Fe 0.0000 0.0000 0.0000  4 Pm 2.53
Fe 0.5000 0.5000 0.5000  4 Pm 2.53

---

[2]
Below is crystalline B5C7 at its relaxed geometry, with properties calculated at the GGA-PBE level.

Calculated values
energy relative to the lowest polymorph listed for this composition = 107 meV per atom
symmetry = Cm, No. 8
E_form = 0.36 eV per atom
D(E_F) = 2.27 states/eV/cell
total moment = 0.00 μB per atom

Unit cell a=4.5547 b=4.5547 c=8.1143 alpha=115.98 beta=115.98 gamma=31.66
Closest atoms and distances in Å follow each position.
Element x y z (fractional)
B 0.0000 0.0000 0.0000  2 C 1.63-1.73, 2 B 1.81
B 0.2882 0.2882 0.1154  3 C 1.59-1.60
B 0.4942 0.4942 0.8353  2 C 1.63-1.65, 2 B 1.81
B 0.5032 0.5032 0.3646  1 C 1.59, 2 B 1.76
B 0.9862 0.9862 0.5081  2 C 1.62-1.63, 2 B 1.76
C 0.1656 0.1656 0.6997  3 C 1.52-1.60, 1 B 1.63
C 0.1721 0.1721 0.2187  2 C 1.51, 1 B 1.59
C 0.3172 0.3172 0.6420  3 C 1.51-1.60, 1 B 1.63
C 0.6603 0.6603 0.3172  3 C 1.51-1.66, 1 B 1.59
C 0.6698 0.6698 0.8092  3 C 1.52-1.55, 1 B 1.65
C 0.8139 0.8139 0.5338  3 C 1.51-1.66, 1 B 1.62
C 0.8183 0.8183 0.0087  1 C 1.55, 3 B 1.60-1.63

---

Among the records above, which one has the highest total moment? Pm4In2Fe

---

Among the records above, which one has the highest E_form? B5C7

---

Number 2 is which compound? B5C7